Li2CrFeO4, optimized geometry, DFT PBE+U; space group = P1, No. 1; M_tot = 0.750 μB per atom; raw total energy = -6.40 eV/atom; polymorph energy (0 for the lowest one) = 0.103 eV/atom
1.0
5.110 0.000 0.000
1.702 5.673 0.000
1.658 1.073 7.591
Li Cr Fe O
6 3 3 12
direct
0.000 0.000 0.000
0.003 0.328 0.670
0.012 0.661 0.335
0.500 0.834 0.164
0.504 0.163 0.836
0.511 0.492 0.504
0.002 0.832 0.668
0.008 0.493 0.003
0.504 0.000 0.500
0.006 0.164 0.333
0.504 0.662 0.836
0.506 0.329 0.167
0.241 0.850 0.425
0.243 0.512 0.759
0.260 0.984 0.742
0.261 0.179 0.087
0.265 0.315 0.403
0.266 0.643 0.080
0.746 0.679 0.591
0.747 0.019 0.260
0.747 0.342 0.932
0.755 0.149 0.584
0.765 0.473 0.243
0.766 0.812 0.912